Here is a relaxed BaLi2 crystal from Alexandria via LeMat-Bulk. Energies are from PBE.

Cell: 12.687 4.011 8.571 Å, 90.00 109.79 90.00°
Space group C2/m (No. 12)
Unique sites:
Ba1 0.159 0.000 0.131
Li1 0.029 0.500 0.697
Li2 0.143 0.000 0.533

Calculated volume, Å³ per cell: 410
ΔH_f (0 K), eV/atom: 0.08

***

Here is a relaxed BaLi crystal from Alexandria via LeMat-Bulk. Energies are from PBE.

Cell: 13.043 13.043 3.983 Å, 90.00 90.00 90.00°
Space group I4/m (No. 87)
Unique sites:
Ba1 0.120 0.183 0.000
Li1 0.072 0.606 0.000

Calculated volume, Å³ per cell: 678
ΔH_f (0 K), eV/atom: 0.16

***

Here is a relaxed BaLi2 crystal from Alexandria via LeMat-Bulk. Energies are from PBE.

Cell: 5.3514 5.3514 4.5499 Å, 90.00 90.00 120.00°
Space group P6/mmm (No. 191)
Unique sites:
Ba1 0.0000 0.0000 0.0000
Li1 0.3333 0.6667 0.5000

Calculated volume, Å³ per cell: 113
ΔH_f (0 K), eV/atom: 0.06

***

Here is a relaxed BaLi2 crystal from Alexandria via LeMat-Bulk. Energies are from PBE.

Cell: 5.892 5.892 12.267 Å, 90.00 90.00 90.00°
Space group I4/mcm (No. 140)
Unique sites:
Ba1 0.000 0.000 0.250
Li1 0.170 0.330 0.000

Calculated volume, Å³ per cell: 426
ΔH_f (0 K), eV/atom: 0.09

***

Here is a relaxed BaLi3 crystal from Alexandria via LeMat-Bulk. Energies are from PBE.

Cell: 6.398 4.666 8.622 Å, 90.00 90.00 90.00°
Space group Pmma (No. 51)
Unique sites:
Ba1 0.250 0.000 0.175
Li1 0.000 0.500 0.500
Li2 0.250 0.000 0.603
Li3 0.250 0.500 0.822

Calculated volume, Å³ per cell: 257
ΔH_f (0 K), eV/atom: 0.03

***

Here is a relaxed BaLi crystal from Alexandria via LeMat-Bulk. Energies are from PBE.

Cell: 7.777 7.948 11.446 Å, 90.00 90.00 90.00°
Space group P2_12_12_1 (No. 19)
Unique sites:
Ba1 0.104 0.240 0.151
Ba2 0.185 0.271 0.543
Li1 0.091 0.438 0.834
Li2 0.148 0.074 0.844

Calculated volume, Å³ per cell: 707
ΔH_f (0 K), eV/atom: 0.09

***

Number 1: total magnetic moment 0.00 Bohr magnetons per cell. Number 2: total magnetic moment 0.03 Bohr magnetons per cell. Number 3: total magnetic moment 0.00 Bohr magnetons per cell. Number 4: total magnetic moment 0.00 Bohr magnetons per cell. Number 5: total magnetic moment 0.00 Bohr magnetons per cell. Number 6: total magnetic moment 0.00 Bohr magnetons per cell.